A plane-wave DFT calculation with PBEsol was carried out for a geometry-optimized Zn2Fe structure.

The calculation puts the density of states at the Fermi level at 13.152 states/eV/cell. The value obtained for the energy of formation is 0.04 kcal/mol of atoms. As for the total magnetization: 0.718 μB/atom.

It has space group I4_1/amd (No. 141, origin choice 2), with a = 3.707 Å, b = 3.707 Å, c = 21.701 Å, α = 90.00°, β = 90.00° and γ = 90.00°. The inequivalent atoms are Zn at (0.000, 0.250, 0.124), Zn at (0.000, 0.250, 0.290) and Fe at (0.000, 0.250, 0.791).